[1]
Here is a relaxed structure of ZrTeS from Alexandria via LeMat-Bulk. Energies are from PBE.

Space group ... No. 59
Energy relative to the lowest polymorph listed for this composition ... 0.093 eV/atom
Uncorrected formation energy ... -1.110 eV/atom
V ... 181 Å³/cell

a = 3.819 Å, b = 5.121 Å, c = 9.251 Å
α = 90.00°, β = 90.00°, γ = 90.00°
Element x y z (fractional)
1 Zr 0.250 0.250 0.128
2 Zr 0.750 0.750 0.872
3 Te 0.250 0.750 0.649
4 Te 0.750 0.250 0.351
5 S 0.250 0.750 0.075
6 S 0.750 0.250 0.925

[2]
Here is a relaxed structure of NaPu2O11 from Alexandria via LeMat-Bulk. Energies are from PBE.

Space group ... No. 46
Uncorrected formation energy ... -1.467 eV/atom
V ... 498 Å³/cell

a = 8.701 Å, b = 8.701 Å, c = 8.701 Å
α = 100.81°, β = 113.61°, γ = 114.32°
Element x y z (fractional)
1 Na 0.000 0.000 0.000
2 Na 0.000 0.500 0.500
3 Pu 0.035 0.517 0.019
4 Pu 0.498 0.017 0.981
5 Pu 0.507 0.485 0.522
6 Pu 0.963 0.985 0.478
7 O 0.026 0.301 0.993
8 O 0.026 0.533 0.225
9 O 0.053 0.504 0.816
10 O 0.053 0.737 0.049
11 O 0.307 0.033 0.007
12 O 0.307 0.801 0.775
13 O 0.316 0.284 0.300
14 O 0.316 0.515 0.532
15 O 0.336 0.210 0.625
16 O 0.459 0.727 0.232
17 O 0.496 0.227 0.768
18 O 0.568 0.867 0.200
19 O 0.585 0.710 0.375
20 O 0.667 0.367 0.800
21 O 0.688 0.004 0.951
22 O 0.688 0.237 0.184
23 O 0.697 0.457 0.507
24 O 0.697 0.690 0.740
25 O 0.950 0.190 0.493
26 O 0.950 0.957 0.260
27 O 0.983 0.015 0.700
28 O 0.983 0.784 0.468

[3]
Here is a relaxed structure of Ti2TlTcOs from Alexandria via LeMat-Bulk. Energies are from PBE.

Space group ... No. 123
V ... 105 Å³/cell
Energy of formation ... 1.25 eV/atom

a = 4.543 Å, b = 4.543 Å, c = 5.094 Å
α = 90.00°, β = 90.00°, γ = 90.00°
Element x y z (fractional)
1 Ti 0.000 0.500 0.000
2 Ti 0.500 0.000 0.000
3 Tl 0.000 0.000 0.500
4 Tc 0.000 0.000 0.000
5 Os 0.500 0.500 0.500

[4]
Here is a relaxed structure of Nd2YIn4 from Alexandria via LeMat-Bulk. Energies are from PBE.

Space group ... No. 139
Energy relative to the lowest polymorph listed for this composition ... 0.453 eV/atom
V ... 515 Å³/cell
Energy of formation ... 0.12 eV/atom

a = 5.658 Å, b = 5.658 Å, c = 16.100 Å
α = 90.00°, β = 90.00°, γ = 90.00°
Element x y z (fractional)
1 Nd 0.000 0.000 0.110
2 Nd 0.000 0.000 0.890
3 Nd 0.500 0.500 0.390
4 Nd 0.500 0.500 0.610
5 Y 0.000 0.000 0.500
6 Y 0.500 0.500 0.000
7 In 0.000 0.000 0.311
8 In 0.000 0.000 0.689
9 In 0.000 0.500 0.000
10 In 0.000 0.500 0.500
11 In 0.500 0.000 0.000
12 In 0.500 0.000 0.500
13 In 0.500 0.500 0.189
14 In 0.500 0.500 0.811

[5]
Here is a relaxed structure of Pm8Ir3CBr3 from Alexandria via LeMat-Bulk. Energies are from PBE.

Space group ... No. 166
Uncorrected formation energy ... -0.841 eV/atom
V ... 443 Å³/cell

a = 8.959 Å, b = 8.959 Å, c = 8.959 Å
α = 54.47°, β = 54.47°, γ = 54.47°
Element x y z (fractional)
1 Pm 0.233 0.233 0.233
2 Pm 0.247 0.718 0.718
3 Pm 0.282 0.282 0.753
4 Pm 0.282 0.753 0.282
5 Pm 0.718 0.247 0.718
6 Pm 0.718 0.718 0.247
7 Pm 0.753 0.282 0.282
8 Pm 0.767 0.767 0.767
9 Ir 0.000 0.000 0.500
10 Ir 0.000 0.500 0.000
11 Ir 0.500 0.000 0.000
12 C 0.500 0.500 0.500
13 Br 0.000 0.500 0.500
14 Br 0.500 0.000 0.500
15 Br 0.500 0.500 0.000

[6]
Here is a relaxed structure of CoCu2Au from Alexandria via LeMat-Bulk. Energies are from PBE.

Space group ... No. 166
V ... 163 Å³/cell
Energy of formation ... 0.20 eV/atom

a = 2.694 Å, b = 2.694 Å, c = 26.008 Å
α = 90.00°, β = 90.00°, γ = 120.00°
Element x y z (fractional)
1 Co 0.000 0.000 0.000
2 Co 0.333 0.667 0.667
3 Co 0.667 0.333 0.333
4 Cu 0.000 0.000 0.257
5 Cu 0.000 0.000 0.743
6 Cu 0.333 0.667 0.410
7 Cu 0.333 0.667 0.923
8 Cu 0.667 0.333 0.077
9 Cu 0.667 0.333 0.590
10 Au 0.000 0.000 0.500
11 Au 0.333 0.667 0.167
12 Au 0.667 0.333 0.833

no.,magnetization (μB per formula unit)
1,0.0
2,0.9
3,0.8
4,1.4
5,0.0
6,1.5